Material: TlSn2O
Method: DFT, PBE-GGA
State: optimized geometry

a b c (Å): 4.993 4.993 4.993
angles (deg): 60.00 60.00 60.00
Positions (direct):
Tl (0.000, 0.000, 0.000)
Sn (0.250, 0.250, 0.250)
Sn (0.750, 0.750, 0.750)
O (0.500, 0.500, 0.500)

## Properties
The total energy comes out at -3.623 eV/atom. For the total magnetization, the calculation gives 0.00 μB/cell. The crystal system is cubic. The value obtained for the formation energy from raw total energies is 0.21 eV/atom.